! TbSc2As (GGA-PBE, optimized geometry); values from VASP
! Symmetry   Cmcm (63)
! Formation energy from the elements   -0.735 eV/atom
! Theoretical density   5.7 Mg/m³
! N(E_F)   12.098 states/eV per cell
&SYSTEM
  ibrav = 0, nat = 8, ntyp = 3
/
ATOMIC_SPECIES
Sc 44.96 Sc.upf
As 74.92 As.upf
Tb 158.93 Tb.upf
ATOMIC_POSITIONS angstrom
Sc -2.624 -1.284 2.949
Sc -4.032 -4.182 2.918
As -2.303 -3.095 0.848
As -4.352 -2.371 5.019
Tb -0.668 -4.487 2.954
Sc -0.028 -1.477 0.806
Tb -5.987 -0.978 2.913
Sc -6.628 -3.989 5.061
CELL_PARAMETERS angstrom
-2.374 -1.453 -2.744
2.293 -4.501 3.183
-6.575 0.489 5.428


! Pr3GaPt8 (GGA-PBE, optimized geometry); values from VASP
! Symmetry   R3m (160)
! Formation energy from the elements   -0.926 eV/atom
! Theoretical density   14.4 Mg/m³
! N(E_F)   7.061 states/eV per cell
&SYSTEM
  ibrav = 0, nat = 12, ntyp = 3
/
ATOMIC_SPECIES
Pr 140.91 Pr.upf
Pt 195.08 Pt.upf
Ga 69.72 Ga.upf
ATOMIC_POSITIONS angstrom
Pr 8.274 4.777 0.301
Pt 8.274 4.777 8.343
Pt 6.909 2.381 1.598
Pt 4.123 2.381 1.598
Pt 8.274 3.167 6.122
Pt 9.668 5.582 6.122
Pt 5.516 4.793 1.598
Pr 5.516 3.185 7.737
Pt 6.879 5.582 6.122
Pr 5.516 3.185 4.220
Pt 2.758 1.592 3.829
Ga 8.274 4.777 3.965
CELL_PARAMETERS angstrom
5.516 0.000 0.000
2.758 4.777 0.000
2.758 1.592 8.966


! NaHo3Rh (GGA-PBE, optimized geometry); values from VASP
! Symmetry   Pm-3m (221)
! Formation energy from the elements   -0.225 eV/atom
! Theoretical density   6.5 Mg/m³
! N(E_F)   2.215 states/eV per cell
&SYSTEM
  ibrav = 0, nat = 5, ntyp = 3
/
ATOMIC_SPECIES
Na 22.99 Na.upf
Ho 164.93 Ho.upf
Rh 102.91 Rh.upf
ATOMIC_POSITIONS angstrom
Na 2.710 2.710 2.710
Ho 2.710 0.000 0.000
Ho 0.000 2.710 0.000
Rh 0.000 0.000 0.000
Ho 0.000 0.000 2.710
CELL_PARAMETERS angstrom
5.420 0.000 0.000
0.000 5.420 0.000
0.000 0.000 5.420